Record 1
Here is a relaxed structure of BeZn3As from Alexandria. Energies are from PBE.

Energy relative to the elements, meV per atom: 448.2
Volume, Å³ per cell: 83.36
E above lowest polymorph, meV/atom: 0.0

Structure (CIF):
```
data_BeZn3As
_chemical_formula_sum 'Be1 Zn3 As1'
_symmetry_space_group_name_H-M 'P m -3 m'
_symmetry_Int_Tables_number 221
_symmetry_space_group_name_Hall '-P 4 2 3'
_cell_length_a 4.3684
_cell_length_b 4.3684
_cell_length_c 4.3684
_cell_angle_alpha 90.00
_cell_angle_beta 90.00
_cell_angle_gamma 90.00
loop_
_atom_site_label
_atom_site_fract_x
_atom_site_fract_y
_atom_site_fract_z
_atom_site_occupancy
Be1 0.0000 0.0000 0.0000 1
Zn1 0.0000 0.0000 0.5000 1
As1 0.5000 0.5000 0.5000 1
```

---

Record 2
Here is a relaxed structure of BeZnAs2 from Alexandria. Energies are from PBE.

Energy relative to the elements, meV per atom: 469.0
Volume, Å³ per cell: 257.59
E above lowest polymorph, meV/atom: 403.2

Structure (CIF):
```
data_BeZnAs2
_chemical_formula_sum 'Be4 Zn4 As8'
_symmetry_space_group_name_H-M 'F m -3 m'
_symmetry_Int_Tables_number 225
_symmetry_space_group_name_Hall '-F 4 2 3'
_cell_length_a 6.3627
_cell_length_b 6.3627
_cell_length_c 6.3627
_cell_angle_alpha 90.00
_cell_angle_beta 90.00
_cell_angle_gamma 90.00
loop_
_atom_site_label
_atom_site_fract_x
_atom_site_fract_y
_atom_site_fract_z
_atom_site_occupancy
Be1 0.0000 0.0000 0.0000 1
Zn1 0.0000 0.0000 0.5000 1
As1 0.2500 0.2500 0.2500 1
```

---

Record 3
Here is a relaxed structure of BeZnAs2 from Alexandria. Energies are from PBE.

Energy relative to the elements, meV per atom: 169.2
Volume, Å³ per cell: 75.63
E above lowest polymorph, meV/atom: 103.5

Structure (CIF):
```
data_BeZnAs2
_chemical_formula_sum 'Be1 Zn1 As2'
_symmetry_space_group_name_H-M 'P m m 2'
_symmetry_Int_Tables_number 25
_cell_length_a 2.9018
_cell_length_b 3.6576
_cell_length_c 7.1263
_cell_angle_alpha 90.00
_cell_angle_beta 90.00
_cell_angle_gamma 90.00
loop_
_symmetry_equiv_pos_as_xyz
'x,y,z'
'-x,-y,z'
'-x,y,z'
'x,-y,z'
loop_
_atom_site_label
_atom_site_fract_x
_atom_site_fract_y
_atom_site_fract_z
_atom_site_occupancy
Be1 0.0000 0.0000 0.0000 1
Zn1 0.5000 0.5000 0.1899 1
As1 0.0000 0.0000 0.3544 1
As2 0.5000 0.5000 0.8415 1
```

---

Record 4
Here is a relaxed structure of Be2ZnAs from Alexandria. Energies are from PBE.

Energy relative to the elements, meV per atom: 528.7
Volume, Å³ per cell: 215.38
E above lowest polymorph, meV/atom: 254.8

Structure (CIF):
```
data_Be2ZnAs
_chemical_formula_sum 'Be8 Zn4 As4'
_symmetry_space_group_name_H-M 'F m -3 m'
_symmetry_Int_Tables_number 225
_symmetry_space_group_name_Hall '-F 4 2 3'
_cell_length_a 5.9943
_cell_length_b 5.9943
_cell_length_c 5.9943
_cell_angle_alpha 90.00
_cell_angle_beta 90.00
_cell_angle_gamma 90.00
loop_
_atom_site_label
_atom_site_fract_x
_atom_site_fract_y
_atom_site_fract_z
_atom_site_occupancy
Be1 0.2500 0.2500 0.2500 1
Zn1 0.0000 0.0000 0.0000 1
As1 0.0000 0.0000 0.5000 1
```

---

Record 5
Here is a relaxed structure of BeZn2As2 from Alexandria. Energies are from PBE.

Energy relative to the elements, meV per atom: 276.3
Volume, Å³ per cell: 173.58

Structure (CIF):
```
data_BeZn2As2
_chemical_formula_sum 'Be2 Zn4 As4'
_symmetry_space_group_name_H-M 'P 4/m b m'
_symmetry_Int_Tables_number 127
_symmetry_space_group_name_Hall '-P 4 2ab'
_cell_length_a 6.7187
_cell_length_b 6.7187
_cell_length_c 3.8453
_cell_angle_alpha 90.00
_cell_angle_beta 90.00
_cell_angle_gamma 90.00
loop_
_atom_site_label
_atom_site_fract_x
_atom_site_fract_y
_atom_site_fract_z
_atom_site_occupancy
Be1 0.0000 0.0000 0.0000 1
Zn1 0.1330 0.3670 0.5000 1
As1 0.1889 0.6889 0.0000 1
```

---

Record 6
Here is a relaxed structure of BeZnAs2 from Alexandria. Energies are from PBE.

Energy relative to the elements, meV per atom: 321.7
Volume, Å³ per cell: 133.39
E above lowest polymorph, meV/atom: 256.0

Structure (CIF):
```
data_BeZnAs2
_chemical_formula_sum 'Be2 Zn2 As4'
_symmetry_space_group_name_H-M 'C m m 2'
_symmetry_Int_Tables_number 35
_cell_length_a 3.6447
_cell_length_b 4.0529
_cell_length_c 9.0303
_cell_angle_alpha 90.00
_cell_angle_beta 90.00
_cell_angle_gamma 90.00
loop_
_symmetry_equiv_pos_as_xyz
'x,y,z'
'-x,-y,z'
'-x,y,z'
'x,-y,z'
'x+1/2,y+1/2,z'
'-x+1/2,-y+1/2,z'
'-x+1/2,y+1/2,z'
'x+1/2,-y+1/2,z'
loop_
_atom_site_label
_atom_site_fract_x
_atom_site_fract_y
_atom_site_fract_z
_atom_site_occupancy
Be1 0.0000 0.0000 0.0000 1
Zn1 0.0000 0.5000 0.8119 1
As1 0.0000 0.0000 0.5567 1
As2 0.0000 0.5000 0.1909 1
```

---

Record 7
Here is a relaxed structure of BeZnAs2 from Alexandria. Energies are from PBE.

Energy relative to the elements, meV per atom: 324.4
Volume, Å³ per cell: 134.67
E above lowest polymorph, meV/atom: 258.6

Structure (CIF):
```
data_BeZnAs2
_chemical_formula_sum 'Be2 Zn2 As4'
_symmetry_space_group_name_H-M 'I m m m'
_symmetry_Int_Tables_number 71
_symmetry_space_group_name_Hall '-I 2 2'
_cell_length_a 3.5585
_cell_length_b 5.0662
_cell_length_c 7.4703
_cell_angle_alpha 90.00
_cell_angle_beta 90.00
_cell_angle_gamma 90.00
loop_
_atom_site_label
_atom_site_fract_x
_atom_site_fract_y
_atom_site_fract_z
_atom_site_occupancy
Be1 0.0000 0.0000 0.0000 1
Zn1 0.0000 0.0000 0.5000 1
As1 0.0000 0.5000 0.3012 1
```

---

Record 8
Here is a relaxed structure of Be2ZnAs from Alexandria. Energies are from PBE.

Energy relative to the elements, meV per atom: 273.8
Volume, Å³ per cell: 112.93
E above lowest polymorph, meV/atom: 0.0

Structure (CIF):
```
data_Be2ZnAs
_chemical_formula_sum 'Be4 Zn2 As2'
_symmetry_space_group_name_H-M 'C 1 m 1'
_symmetry_Int_Tables_number 8
_cell_length_a 7.7086
_cell_length_b 2.7443
_cell_length_c 5.6703
_cell_angle_alpha 90.00
_cell_angle_beta 109.71
_cell_angle_gamma 90.00
loop_
_symmetry_equiv_pos_as_xyz
'x,y,z'
'x,-y,z'
'x+1/2,y+1/2,z'
'x+1/2,-y+1/2,z'
loop_
_atom_site_label
_atom_site_fract_x
_atom_site_fract_y
_atom_site_fract_z
_atom_site_occupancy
Be1 0.0000 0.0000 0.0000 1
Be2 0.2435 0.5000 0.1441 1
Zn1 0.2285 0.0000 0.7907 1
As1 0.0101 0.5000 0.3686 1
```

---

Record 9
Here is a relaxed structure of BeZnAs2 from Alexandria. Energies are from PBE.

Energy relative to the elements, meV per atom: 65.7
Volume, Å³ per cell: 147.88
E above lowest polymorph, meV/atom: 0.0

Structure (CIF):
```
data_BeZnAs2
_chemical_formula_sum 'Be2 Zn2 As4'
_symmetry_space_group_name_H-M 'A m m 2'
_symmetry_Int_Tables_number 38
_cell_length_a 4.9365
_cell_length_b 4.1881
_cell_length_c 7.1529
_cell_angle_alpha 90.00
_cell_angle_beta 90.00
_cell_angle_gamma 90.00
loop_
_symmetry_equiv_pos_as_xyz
'x,y,z'
'-x,-y,z'
'-x,y,z'
'x,-y,z'
'x,y+1/2,z+1/2'
'-x,-y+1/2,z+1/2'
'-x,y+1/2,z+1/2'
'x,-y+1/2,z+1/2'
loop_
_atom_site_label
_atom_site_fract_x
_atom_site_fract_y
_atom_site_fract_z
_atom_site_occupancy
Be1 0.0000 0.0000 0.0000 1
Zn1 0.5000 0.0000 0.1894 1
As1 0.0000 0.0000 0.3384 1
As2 0.5000 0.0000 0.8576 1
```

---

Record 10
Here is a relaxed structure of Be2ZnAs from Alexandria. Energies are from PBE.

Energy relative to the elements, meV per atom: 311.3
Volume, Å³ per cell: 55.85
E above lowest polymorph, meV/atom: 37.5

Structure (CIF):
```
data_Be2ZnAs
_chemical_formula_sum 'Be2 Zn1 As1'
_symmetry_space_group_name_H-M 'P m m 2'
_symmetry_Int_Tables_number 25
_cell_length_a 2.5748
_cell_length_b 3.2587
_cell_length_c 6.6563
_cell_angle_alpha 90.00
_cell_angle_beta 90.00
_cell_angle_gamma 90.00
loop_
_symmetry_equiv_pos_as_xyz
'x,y,z'
'-x,-y,z'
'-x,y,z'
'x,-y,z'
loop_
_atom_site_label
_atom_site_fract_x
_atom_site_fract_y
_atom_site_fract_z
_atom_site_occupancy
Be1 0.0000 0.0000 0.0000 1
Be2 0.5000 0.5000 0.1678 1
Zn1 0.0000 0.0000 0.3742 1
As1 0.5000 0.5000 0.7943 1
```

---

Record 11
Here is a relaxed structure of BeZnAs2 from Alexandria. Energies are from PBE.

Energy relative to the elements, meV per atom: 348.0
Volume, Å³ per cell: 65.49
E above lowest polymorph, meV/atom: 282.3

Structure (CIF):
```
data_BeZnAs2
_chemical_formula_sum 'Be1 Zn1 As2'
_symmetry_space_group_name_H-M 'P 4/m m m'
_symmetry_Int_Tables_number 123
_symmetry_space_group_name_Hall '-P 4 2'
_cell_length_a 2.9520
_cell_length_b 2.9520
_cell_length_c 7.5146
_cell_angle_alpha 90.00
_cell_angle_beta 90.00
_cell_angle_gamma 90.00
loop_
_atom_site_label
_atom_site_fract_x
_atom_site_fract_y
_atom_site_fract_z
_atom_site_occupancy
Be1 0.0000 0.0000 0.0000 1
Zn1 0.0000 0.0000 0.5000 1
As1 0.5000 0.5000 0.2014 1
```

---

Record 12
Here is a relaxed structure of BeZnAs from Alexandria. Energies are from PBE.

Energy relative to the elements, meV per atom: 315.5
Volume, Å³ per cell: 94.18
E above lowest polymorph, meV/atom: 270.5

Structure (CIF):
```
data_BeZnAs
_chemical_formula_sum 'Be2 Zn2 As2'
_symmetry_space_group_name_H-M 'I m m 2'
_symmetry_Int_Tables_number 44
_cell_length_a 2.5630
_cell_length_b 3.3484
_cell_length_c 10.9740
_cell_angle_alpha 90.00
_cell_angle_beta 90.00
_cell_angle_gamma 90.00
loop_
_symmetry_equiv_pos_as_xyz
'x,y,z'
'-x,-y,z'
'-x,y,z'
'x,-y,z'
'x+1/2,y+1/2,z+1/2'
'-x+1/2,-y+1/2,z+1/2'
'-x+1/2,y+1/2,z+1/2'
'x+1/2,-y+1/2,z+1/2'
loop_
_atom_site_label
_atom_site_fract_x
_atom_site_fract_y
_atom_site_fract_z
_atom_site_occupancy
Be1 0.0000 0.0000 0.0000 1
Zn1 0.0000 0.0000 0.6382 1
As1 0.0000 0.0000 0.3734 1
```

---

Record 13
Here is a relaxed structure of Be2ZnAs from Alexandria. Energies are from PBE.

Energy relative to the elements, meV per atom: 422.7
Volume, Å³ per cell: 52.35
E above lowest polymorph, meV/atom: 148.9

Structure (CIF):
```
data_Be2ZnAs
_chemical_formula_sum 'Be2 Zn1 As1'
_symmetry_space_group_name_H-M 'P 4/m m m'
_symmetry_Int_Tables_number 123
_symmetry_space_group_name_Hall '-P 4 2'
_cell_length_a 3.8706
_cell_length_b 3.8706
_cell_length_c 3.4946
_cell_angle_alpha 90.00
_cell_angle_beta 90.00
_cell_angle_gamma 90.00
loop_
_atom_site_label
_atom_site_fract_x
_atom_site_fract_y
_atom_site_fract_z
_atom_site_occupancy
Be1 0.0000 0.5000 0.0000 1
Zn1 0.0000 0.0000 0.5000 1
As1 0.5000 0.5000 0.5000 1
```

---

Record 14
Here is a relaxed structure of BeZnAs2 from Alexandria. Energies are from PBE.

Energy relative to the elements, meV per atom: 341.2
Volume, Å³ per cell: 211.21
E above lowest polymorph, meV/atom: 275.5

Structure (CIF):
```
data_BeZnAs2
_chemical_formula_sum 'Be3 Zn3 As6'
_symmetry_space_group_name_H-M 'R 3 m'
_symmetry_Int_Tables_number 160
_symmetry_space_group_name_Hall 'R 3 -2"'
_cell_length_a 2.9478
_cell_length_b 2.9478
_cell_length_c 28.0655
_cell_angle_alpha 90.00
_cell_angle_beta 90.00
_cell_angle_gamma 120.00
loop_
_atom_site_label
_atom_site_fract_x
_atom_site_fract_y
_atom_site_fract_z
_atom_site_occupancy
Be1 0.0000 0.0000 0.0000 1
Zn1 0.0000 0.0000 0.7351 1
As1 0.0000 0.0000 0.2732 1
As2 0.0000 0.0000 0.4774 1
```

---

Record 15
Here is a relaxed structure of Be2ZnAs from Alexandria. Energies are from PBE.

Energy relative to the elements, meV per atom: 401.7
Volume, Å³ per cell: 161.99
E above lowest polymorph, meV/atom: 127.8

Structure (CIF):
```
data_Be2ZnAs
_chemical_formula_sum 'Be6 Zn3 As3'
_symmetry_space_group_name_H-M 'R 3 m'
_symmetry_Int_Tables_number 160
_symmetry_space_group_name_Hall 'R 3 -2"'
_cell_length_a 2.8780
_cell_length_b 2.8780
_cell_length_c 22.5824
_cell_angle_alpha 90.00
_cell_angle_beta 90.00
_cell_angle_gamma 120.00
loop_
_atom_site_label
_atom_site_fract_x
_atom_site_fract_y
_atom_site_fract_z
_atom_site_occupancy
Be1 0.0000 0.0000 0.0000 1
Be2 0.0000 0.0000 0.2625 1
Zn1 0.0000 0.0000 0.5174 1
As1 0.0000 0.0000 0.7477 1
```